[1]
Material: Pm3As2IrRh9
Method: DFT, PBE
State: relaxed

Cell lengths 5.635, 5.635, 11.066 Å; angles 90.00, 90.00, 120.00 degrees
Sites, in units of the cell vectors:
Pm: 0.000 0.000 0.000
Pm: 0.333 0.667 0.579
Pm: 0.667 0.333 0.421
As: 0.333 0.667 0.161
As: 0.667 0.333 0.839
Ir: 0.000 0.000 0.500
Rh: 0.000 0.500 0.000
Rh: 0.168 0.335 0.323
Rh: 0.168 0.832 0.323
Rh: 0.335 0.168 0.677
Rh: 0.500 0.000 0.000
Rh: 0.500 0.500 0.000
Rh: 0.665 0.832 0.323
Rh: 0.832 0.168 0.677
Rh: 0.832 0.665 0.677

Summary:
The calculation puts the formation energy at -0.300 eV per atom. Its size of the total moment is 0.0 μB per cell.


[2]
Material: CaDyMg2Au4
Method: DFT, PBE
State: relaxed

Cell lengths 8.460, 8.460, 8.460 Å; angles 34.01, 34.01, 34.01 degrees
Sites, in units of the cell vectors:
Ca: 0.000 0.000 0.000
Dy: 0.500 0.500 0.500
Mg: 0.251 0.251 0.251
Mg: 0.749 0.749 0.749
Au: 0.128 0.128 0.128
Au: 0.376 0.376 0.376
Au: 0.624 0.624 0.624
Au: 0.872 0.872 0.872

Summary:
The calculation puts the formation energy at -0.724 eV per atom. Its size of the total moment is 0.0 μB per cell.